Cs3As2Br9 after structural relaxation, computed with PBE-GGA.

Cell and atoms, written as POSCAR:
```
Cs3As2Br9
1.0
7.880 0.000 0.000
-3.940 6.824 0.000
0.000 0.000 19.665
Cs Br As
6 18 4
Cartesian
3.940 2.275 11.486
3.940 2.275 18.012
0.000 4.550 1.653
0.000 0.000 14.749
0.000 4.550 8.179
0.000 0.000 4.916
-1.856 5.621 11.538
3.940 4.418 1.706
2.027 3.379 4.916
0.000 6.759 14.749
0.000 2.406 11.538
1.856 5.621 17.960
-1.913 3.445 14.749
2.084 1.203 1.706
-1.856 5.621 17.960
5.797 1.203 1.706
2.084 1.203 8.127
3.940 4.418 8.127
1.856 5.621 11.538
0.000 2.406 17.960
1.913 3.445 14.749
5.797 1.203 8.127
3.940 0.066 4.916
5.853 3.379 4.916
3.940 2.275 6.760
3.940 2.275 3.073
0.000 4.550 12.905
0.000 4.550 16.592
```

Calculated values
N(E_F) ... 0.0000 states/eV/atom
SG ... P6_3/mmc, No. 194
Uncorrected energy ... -84.24 eV for the cell shown
Formation energy from raw total energies ... -15.204 eV/f.u.